[1]
Density functional theory data (GGA-PBE) for a relaxed Ba2Cd3Bi5 crystal.

Summary:
Electronic total energy   -2.96 eV/atom
Size of the total moment   0.00 μB/atom
Mass density   7.765 g/cm³
N(E_F)   5.42 states/eV/f.u.
Formation energy   -0.360 eV per atom

Structure (extended XYZ):
```
20
Lattice="7.309 0.000 0.000 3.655 10.146 1.122 3.655 2.673 9.851" Properties=species:S:1:pos:R:3 pbc="T T T"
Cd 10.964 8.880 5.507
Cd 7.309 6.811 7.924
Cd 3.655 3.939 5.466
Cd 1.827 0.000 0.000
Cd 5.482 0.000 0.000
Cd 7.309 6.008 3.048
Bi 5.482 6.409 5.486
Bi 9.136 3.566 3.052
Bi 7.309 0.699 2.279
Bi 10.964 10.459 10.634
Bi 9.136 6.409 5.486
Bi 5.482 9.253 7.921
Bi 7.309 12.120 8.694
Bi 5.482 3.566 3.052
Bi 9.136 9.253 7.921
Bi 3.655 2.360 0.339
Ba 7.309 2.768 6.421
Ba 7.309 10.051 4.552
Ba 10.964 6.048 9.229
Ba 3.655 6.771 1.744
```

***

[2]
Density functional theory data (GGA-PBE) for a relaxed Ca6CdRh2 crystal.

Summary:
Electronic total energy   -3.41 eV/atom
Size of the total moment   0.00 μB/atom
Mass density   3.596 g/cm³
N(E_F)   6.26 states/eV/f.u.
Formation energy   -0.341 eV per atom

Structure (extended XYZ):
```
18
Lattice="8.215 0.165 -3.122 -4.573 7.265 -1.891 -0.430 -0.165 8.778" Properties=species:S:1:pos:R:3 pbc="T T T"
Ca -2.201 5.374 6.365
Ca 3.737 2.458 3.042
Ca -0.758 2.023 6.284
Ca 0.739 5.076 4.224
Ca 2.842 5.539 0.938
Ca 3.970 5.241 -2.519
Ca 5.413 1.891 -2.601
Ca 2.473 2.189 -0.459
Ca -0.525 4.806 0.723
Ca 0.370 1.726 2.826
Ca -2.130 7.084 2.932
Ca 5.342 0.181 0.833
Cd -2.502 3.550 3.443
Cd 0.000 0.000 0.000
Rh 5.413 0.000 3.932
Rh 2.372 0.000 1.724
Rh 2.034 2.637 5.386
Rh 1.178 4.628 -1.622
```

***

[3]
Density functional theory data (GGA-PBE) for a relaxed ZnMo2Os crystal.

Summary:
Electronic total energy   -8.33 eV/atom
Size of the total moment   0.00 μB/atom
Mass density   12.176 g/cm³
N(E_F)   3.32 states/eV/f.u.
Formation energy   0.212 eV per atom

Structure (extended XYZ):
```
4
Lattice="2.703 0.013 0.000 -0.940 2.534 0.000 0.000 0.000 8.896" Properties=species:S:1:pos:R:3 pbc="T T T"
Zn 0.881 1.274 6.648
Mo 0.881 1.274 2.257
Mo 0.000 0.000 0.005
Os 0.000 0.000 4.433
```

***

size of the total moment of number 3 (ZnMo2Os)? 0.00 μB/atom